No. 1
{"formula": "RbH2F2", "functional": "PBE-GGA", "state": "relaxed", "lattice": [[3.824, -2.704, 0.000], [3.824, 2.704, 0.000], [-1.055, 0.000, 7.593]], "species": ["Rb", "Rb", "H", "H", "H", "H", "F", "F", "F", "F"], "frac_coords": [[0.248, 0.752, 0.750], [0.752, 0.248, 0.250], [0.039, 0.536, 0.037], [0.464, 0.961, 0.463], [0.536, 0.039, 0.537], [0.961, 0.464, 0.963], [0.165, 0.660, 0.337], [0.340, 0.835, 0.163], [0.660, 0.165, 0.837], [0.835, 0.340, 0.663]], "e_above_lowest_polymorph_mev_per_atom": 707}

No. 2
{"formula": "ZrOs", "functional": "PBE-GGA", "state": "relaxed", "lattice": [[4.674, 0.000, 0.000], [-2.337, 4.048, 0.000], [0.000, 0.000, 7.806]], "species": ["Zr", "Zr", "Zr", "Zr", "Os", "Os", "Os", "Os"], "frac_coords": [[0.000, 0.000, 0.250], [0.000, 0.000, 0.750], [0.333, 0.667, 0.250], [0.667, 0.333, 0.750], [0.333, 0.667, 0.581], [0.333, 0.667, 0.919], [0.667, 0.333, 0.081], [0.667, 0.333, 0.419]], "ef_ev_per_atom": 0.451}

No. 3
{"formula": "Ac5SnGe", "functional": "PBE-GGA", "state": "relaxed", "lattice": [[6.351, -3.632, 0.000], [6.351, 3.632, 0.000], [-3.610, 0.000, 12.054]], "species": ["Ac", "Ac", "Ac", "Ac", "Ac", "Ac", "Ac", "Ac", "Ac", "Ac", "Sn", "Sn", "Ge", "Ge"], "frac_coords": [[0.027, 0.973, 0.750], [0.078, 0.382, 0.645], [0.237, 0.512, 0.960], [0.382, 0.078, 0.145], [0.488, 0.763, 0.540], [0.512, 0.237, 0.460], [0.618, 0.922, 0.855], [0.763, 0.488, 0.040], [0.922, 0.618, 0.355], [0.973, 0.027, 0.250], [0.468, 0.532, 0.250], [0.532, 0.468, 0.750], [0.000, 0.000, 0.000], [0.000, 0.000, 0.500]], "ef_ev_per_atom": -0.263}

No. 4
{"formula": "Pm4TlSb2Se", "functional": "PBE-GGA", "state": "relaxed", "lattice": [[7.542, 0.000, 0.000], [0.000, 4.393, 0.000], [-2.560, 0.000, 7.405]], "species": ["Pm", "Pm", "Pm", "Pm", "Tl", "Sb", "Sb", "Se"], "frac_coords": [[0.246, 0.000, 0.242], [0.250, 0.500, 0.760], [0.750, 0.500, 0.240], [0.754, 0.000, 0.758], [0.000, 0.000, 0.500], [0.500, 0.000, 0.000], [0.500, 0.500, 0.500], [0.000, 0.500, 0.000]]}

No. 5
{"formula": "AlCdN2", "functional": "PBE-GGA", "state": "relaxed", "lattice": [[1.742, 1.006, 5.901], [-1.742, 1.006, 5.901], [0.000, -2.012, 5.901]], "species": ["Al", "Cd", "N", "N"], "frac_coords": [[0.000, 0.000, 0.000], [0.500, 0.500, 0.500], [0.100, 0.100, 0.100], [0.900, 0.900, 0.900]], "e_above_lowest_polymorph_mev_per_atom": 803}

No. 6
{"formula": "NaBeHgSb2", "functional": "PBE-GGA", "state": "relaxed", "lattice": [[5.472, 0.000, 0.000], [0.000, 5.472, 0.000], [0.000, 0.000, 4.783]], "species": ["Na", "Be", "Hg", "Sb", "Sb"], "frac_coords": [[0.000, 0.000, 0.000], [0.000, 0.000, 0.500], [0.500, 0.500, 0.500], [0.000, 0.500, 0.000], [0.500, 0.000, 0.000]]}

No. 7
{"formula": "Nd3Dy2Tm4", "functional": "PBE-GGA", "state": "relaxed", "lattice": [[8.521, -2.803, 0.000], [8.521, 2.803, 0.000], [-2.355, 0.000, 6.117]], "species": ["Nd", "Nd", "Nd", "Dy", "Dy", "Tm", "Tm", "Tm", "Tm"], "frac_coords": [[0.000, 0.000, 0.000], [0.137, 0.137, 0.581], [0.863, 0.863, 0.419], [0.361, 0.361, 0.702], [0.639, 0.639, 0.298], [0.224, 0.224, 0.143], [0.430, 0.430, 0.247], [0.570, 0.570, 0.753], [0.776, 0.776, 0.857]], "e_above_lowest_polymorph_mev_per_atom": 0, "ef_ev_per_atom": 0.089}

No. 8
{"formula": "SrCaRe2", "functional": "PBE-GGA", "state": "relaxed", "lattice": [[2.888, 0.000, 0.000], [0.000, 4.989, 0.000], [-0.452, 0.000, 6.584]], "species": ["Sr", "Ca", "Re", "Re"], "frac_coords": [[0.000, 0.000, 0.000], [0.000, 0.000, 0.500], [0.469, 0.500, 0.323], [0.531, 0.500, 0.677]], "e_above_lowest_polymorph_mev_per_atom": 554, "ef_ev_per_atom": 0.878}

Number 1: E_tot -3.39 eV per atom. Number 2: E_tot -9.44 eV per atom. Number 3: E_tot -4.43 eV per atom. Number 4: E_tot -5.24 eV per atom. Number 5: E_tot -4.64 eV per atom. Number 6: E_tot -1.66 eV per atom. Number 7: E_tot -4.51 eV per atom. Number 8: E_tot -6.27 eV per atom.